NaNiO2 | PBE with a Hubbard U | relaxed

## Properties
Total moment in μB per formula unit: 1.0
ρ in g/cm3: 4.53
Raw total energy in eV per atom: -4.513

Lattice parameters (Å, degrees): 2.9768 2.9768 16.3013 90.00 90.00 120.00
Space group R3m (No. 160, hexagonal axes)
Symmetry-distinct sites (fractional):
Na 0.0000 0.0000 0.0000
Ni 0.0000 0.0000 0.1701
O 0.0000 0.0000 0.5679
O 0.0000 0.0000 0.7717